# 1
A relaxed LiHfTlS3 crystal. Source: OQMD via LeMat-Bulk, functional PBE.

```
LiHfTlS3
1.0
14.212 0.000 0.000
0.000 3.776 0.000
0.000 0.000 10.305
Li Hf Tl S
4 4 4 12
Direct
0.020 0.250 0.090
0.480 0.750 0.590
0.520 0.250 0.410
0.980 0.750 0.910
0.014 0.750 0.337
0.486 0.250 0.837
0.514 0.750 0.163
0.986 0.250 0.663
0.228 0.750 0.007
0.272 0.250 0.507
0.728 0.750 0.493
0.772 0.250 0.993
0.076 0.250 0.868
0.091 0.750 0.568
0.126 0.250 0.270
0.374 0.750 0.770
0.409 0.250 0.068
0.424 0.750 0.368
0.576 0.250 0.632
0.591 0.750 0.932
0.626 0.250 0.230
0.874 0.750 0.730
0.909 0.250 0.432
0.924 0.750 0.132
```

Calculated values
Its space group is Pnma, No. 62. The value obtained for the volume is 23.042 Å³/atom. The energy above the most stable polymorph in this dataset is 0 meV/atom.

***

# 2
A relaxed YNb2Ga crystal. Source: OQMD via LeMat-Bulk, functional PBE.

```
YNb2Ga
1.0
0.000 3.412 3.412
3.412 0.000 3.412
3.412 3.412 0.000
Y Nb Ga
1 2 1
Direct
0.000 0.000 0.000
0.250 0.250 0.250
0.500 0.500 0.500
0.750 0.750 0.750
```

Calculated values
Its space group is F-43m, No. 216. The value obtained for the volume is 19.856 Å³/atom. The total energy comes out at -29.5 eV per formula unit.

***

# 3
A relaxed Li4Al3Hg crystal. Source: OQMD via LeMat-Bulk, functional PBE.

```
Li4Al3Hg
1.0
4.474 0.000 0.000
0.000 4.474 0.000
0.000 0.000 6.346
Li Al Hg
4 3 1
Direct
0.000 0.000 0.000
0.000 0.500 0.750
0.500 0.000 0.250
0.500 0.500 0.500
0.000 0.000 0.500
0.000 0.500 0.253
0.500 0.000 0.747
0.500 0.500 0.000
```

Calculated values
Its space group is P-4m2, No. 115. The value obtained for the volume is 15.878 Å³/atom. The total energy comes out at -21.1 eV per formula unit.

***

# 4
A relaxed LuScTa2 crystal. Source: OQMD via LeMat-Bulk, functional PBE.

```
LuScTa2
1.0
0.000 3.468 3.468
3.468 0.000 3.468
3.468 3.468 0.000
Lu Sc Ta
1 1 2
Direct
0.000 0.000 0.000
0.750 0.750 0.750
0.250 0.250 0.250
0.500 0.500 0.500
```

Calculated values
Its space group is F-43m, No. 216. For the energy of formation from the pure elements, the calculation gives 0.268 eV per atom. The value obtained for the volume is 20.848 Å³/atom.

***

# 5
A relaxed YSi2Mo2 crystal. Source: OQMD via LeMat-Bulk, functional PBE.

```
YSi2Mo2
1.0
-1.989 1.989 5.582
1.989 -1.989 5.582
1.989 1.989 -5.582
Y Si Mo
1 2 2
Direct
0.000 0.000 0.000
0.392 0.392 0.000
0.608 0.608 0.000
0.250 0.750 0.500
0.750 0.250 0.500
```

Calculated values
Its space group is I4/mmm, No. 139. The value obtained for the volume is 17.672 Å³/atom. The total energy comes out at -41.5 eV per formula unit.

***

# 6
A relaxed GaCo2 crystal. Source: OQMD via LeMat-Bulk, functional PBE.

```
GaCo2
1.0
0.000 3.346 3.346
3.346 0.000 3.346
3.346 3.346 0.000
Ga Co
2 4
Direct
0.125 0.125 0.125
0.875 0.875 0.875
0.000 0.500 0.500
0.500 0.000 0.500
0.500 0.500 0.000
0.500 0.500 0.500
```

Calculated values
Its space group is Fd-3m, No. 227. The value obtained for the volume is 12.491 Å³/atom. The total energy comes out at -17.0 eV per formula unit.

***

# 7
A relaxed TmLuOs crystal. Source: OQMD via LeMat-Bulk, functional PBE.

```
TmLuOs
1.0
7.311 0.000 0.000
0.000 4.245 0.000
0.000 0.000 8.722
Tm Lu Os
4 4 4
Direct
0.024 0.250 0.166
0.476 0.750 0.666
0.524 0.250 0.334
0.976 0.750 0.834
0.147 0.250 0.565
0.353 0.750 0.065
0.647 0.250 0.935
0.853 0.750 0.435
0.245 0.750 0.376
0.255 0.250 0.876
0.745 0.750 0.124
0.755 0.250 0.624
```

Calculated values
Its space group is Pnma, No. 62. For the energy of formation from the pure elements, the calculation gives -0.344 eV per atom. The value obtained for the volume is 22.555 Å³/atom. The energy above the most stable polymorph in this dataset is 0 meV/atom.

***

# 8
A relaxed NaTe3MoAu crystal. Source: OQMD via LeMat-Bulk, functional PBE.

```
NaTe3MoAu
1.0
2.006 -7.296 0.000
2.006 7.296 0.000
0.000 0.000 10.848
Na Te Mo Au
2 6 2 2
Direct
0.228 0.772 0.750
0.772 0.228 0.250
0.079 0.921 0.250
0.365 0.635 0.025
0.365 0.635 0.475
0.635 0.365 0.525
0.635 0.365 0.975
0.921 0.079 0.750
0.000 0.000 0.000
0.000 0.000 0.500
0.441 0.559 0.250
0.559 0.441 0.750
```

Calculated values
Its space group is Cmcm, No. 63. The value obtained for the volume is 26.461 Å³/atom. The total energy comes out at -25.8 eV per formula unit.

***

# 9
A relaxed RbPuBe crystal. Source: OQMD via LeMat-Bulk, functional PBE.

```
RbPuBe
1.0
0.000 3.688 3.688
3.688 0.000 3.688
3.688 3.688 0.000
Rb Pu Be
1 1 1
Direct
0.000 0.000 0.000
0.500 0.500 0.500
0.750 0.750 0.750
```

Calculated values
Its space group is F-43m, No. 216. The value obtained for the volume is 33.438 Å³/atom. The energy above the most stable polymorph in this dataset is 0 meV/atom.

***

# 10
A relaxed TaRe2B2 crystal. Source: OQMD via LeMat-Bulk, functional PBE.

```
TaRe2B2
1.0
-1.835 1.835 4.562
1.835 -1.835 4.562
1.835 1.835 -4.562
Ta Re B
1 2 2
Direct
0.000 0.000 0.000
0.250 0.750 0.500
0.750 0.250 0.500
0.403 0.403 0.000
0.597 0.597 0.000
```

Calculated values
Its space group is I4/mmm, No. 139. The value obtained for the volume is 12.288 Å³/atom. The energy above the most stable polymorph in this dataset is 189 meV/atom.

***

# 11
A relaxed TlAsW4C2 crystal. Source: OQMD via LeMat-Bulk, functional PBE.

```
TlAsW4C2
1.0
3.216 0.000 0.000
-1.608 2.785 0.000
0.000 0.000 12.995
Tl As W C
1 1 4 2
Direct
0.000 0.000 0.000
0.667 0.333 0.500
0.000 0.000 0.352
0.000 0.000 0.648
0.667 0.333 0.186
0.667 0.333 0.814
0.333 0.667 0.265
0.333 0.667 0.735
```

Calculated values
Its space group is P-6m2, No. 187. The value obtained for the volume is 14.547 Å³/atom. The total energy comes out at -74.9 eV per formula unit.

***

# 12
A relaxed NdGd2Sn3Pd2Pt crystal. Source: OQMD via LeMat-Bulk, functional PBE.

```
NdGd2Sn3Pd2Pt
1.0
4.071 0.000 0.000
0.000 6.593 3.800
0.000 -6.593 3.800
Nd Gd Sn Pd Pt
1 2 3 2 1
Direct
0.000 0.000 0.000
0.000 0.186 0.592
0.000 0.592 0.186
0.500 0.337 0.337
0.500 0.590 0.846
0.500 0.846 0.590
0.500 0.262 0.923
0.500 0.923 0.262
0.000 0.588 0.588
```

Calculated values
Its space group is Amm2, No. 38. The value obtained for the volume is 22.665 Å³/atom. The total energy comes out at -51.3 eV per formula unit.